The following is a PBE calculation of Dy4Tl5Ir2 after structural relaxation, from the Open Quantum Materials Database.

```
Dy4Tl5Ir2
1.0
-1.756 -0.361 -7.753
-2.027 -2.931 0.596
-7.597 5.695 2.171
Tl Ir Dy
5 2 4
Cartesian
-7.290 4.561 -2.367 Tl
-5.110 3.573 0.190 Tl
-2.063 0.774 -3.215 Tl
-4.677 2.667 -2.791 Tl
-4.243 1.762 -5.771 Tl
-1.180 0.752 -0.314 Ir
-8.173 4.582 -5.268 Ir
-8.481 3.787 0.731 Dy
-2.900 -1.383 -5.717 Dy
-7.448 1.997 -4.561 Dy
-3.932 0.406 -0.425 Dy
```

Summary:
Total energy ... -0.3547 Ry per atom
Total moment ... 0.01 μB/cell
V ... 25.4 Å³/atom

=====

The following is a PBE calculation of Dy2Tm2Ir3 after structural relaxation, from the Open Quantum Materials Database.

```
Dy2Tm2Ir3
1.0
-1.958 -1.042 4.204
0.989 -3.479 -3.086
7.167 1.902 3.801
Ir Dy Tm
3 2 2
Cartesian
0.797 -2.044 2.551 Ir
0.000 0.000 0.000 Ir
5.401 -0.575 2.367 Ir
3.507 -2.331 3.740 Dy
2.691 -0.287 1.179 Dy
5.287 0.144 5.177 Tm
0.912 -2.763 -0.259 Tm
```

Summary:
Total moment ... 0.00 μB/cell
Energy of formation ... -0.864 eV per atom
V ... 22.0 Å³/atom

=====

The following is a PBE calculation of DyTmIr after structural relaxation, from the Open Quantum Materials Database.

```
DyTmIr
1.0
7.188 0.000 0.000
0.000 4.540 0.000
0.000 0.000 8.697
Ir Tm Dy
4 4 4
Cartesian
5.367 1.135 3.520 Ir
5.415 3.405 7.868 Ir
1.821 3.405 5.177 Ir
1.773 1.135 0.828 Ir
2.575 3.405 8.020 Tm
4.613 1.135 0.677 Tm
6.169 3.405 5.026 Tm
1.019 1.135 3.671 Tm
3.516 3.405 2.916 Dy
0.078 1.135 7.264 Dy
7.110 3.405 1.432 Dy
3.672 1.135 5.781 Dy
```

Summary:
Total moment ... 0.02 μB/cell
Excess energy over the best structure of this formula in the dataset ... 0.000 eV per formula unit
Energy of formation ... -0.769 eV per atom
V ... 23.6 Å³/atom

=====

The following is a PBE calculation of DyTmIr after structural relaxation, from the Open Quantum Materials Database.

```
DyTmIr
1.0
0.000 3.304 3.304
3.304 0.000 3.304
3.304 3.304 0.000
Tm Ir Dy
1 1 1
Cartesian
0.000 0.000 0.000 Tm
4.956 4.956 4.956 Ir
1.652 1.652 1.652 Dy
```

Summary:
Total moment ... 0.00 μB/cell
Excess energy over the best structure of this formula in the dataset ... 2.752 eV per formula unit
Energy of formation ... 0.149 eV per atom
V ... 24.0 Å³/atom

=====

The following is a PBE calculation of DyTmIr after structural relaxation, from the Open Quantum Materials Database.

```
DyTmIr
1.0
7.145 0.000 0.000
0.000 4.565 0.000
0.000 0.000 8.720
Dy Tm Ir
4 4 4
Cartesian
6.127 3.424 8.010 Dy
4.591 1.141 3.650 Dy
1.018 1.141 0.710 Dy
2.555 3.424 5.070 Dy
3.638 1.141 7.312 Tm
7.080 3.424 2.952 Tm
3.507 3.424 1.408 Tm
0.066 1.141 5.768 Tm
1.713 1.141 3.538 Ir
5.432 3.424 5.182 Ir
5.285 1.141 0.822 Ir
1.860 3.424 7.898 Ir
```

Summary:
Total moment ... 0.00 μB/cell
Excess energy over the best structure of this formula in the dataset ... 0.074 eV per formula unit
Energy of formation ... -0.744 eV per atom
V ... 23.7 Å³/atom

=====

The following is a PBE calculation of DyIrW after structural relaxation, from the Open Quantum Materials Database.

```
DyIrW
1.0
2.261 1.305 3.692
-2.261 1.305 3.692
0.000 -2.611 3.692
Dy Ir W
1 1 1
Cartesian
0.000 0.000 8.307 Dy
0.000 0.000 0.000 Ir
0.000 0.000 2.769 W
```

Summary:
Total moment ... 0.00 μB/cell
Energy of formation ... 0.232 eV per atom
V ... 21.8 Å³/atom

=====

The following is a PBE calculation of DyYIr after structural relaxation, from the Open Quantum Materials Database.

```
DyYIr
1.0
7.209 0.000 0.000
0.000 4.620 0.000
0.000 0.000 8.783
Ir Dy Y
4 4 4
Cartesian
1.732 3.465 0.817 Ir
5.336 3.465 3.575 Ir
1.873 1.155 5.209 Ir
5.478 1.155 7.966 Ir
3.534 1.155 2.969 Dy
3.675 3.465 5.814 Dy
0.070 3.465 7.361 Dy
7.139 1.155 1.422 Dy
2.582 1.155 8.068 Y
6.187 1.155 5.107 Y
1.022 3.465 3.676 Y
4.627 3.465 0.715 Y
```

Summary:
Total moment ... 0.03 μB/cell
Excess energy over the best structure of this formula in the dataset ... 0.038 eV per formula unit
Energy of formation ... -0.706 eV per atom
V ... 24.4 Å³/atom

=====

The following is a PBE calculation of DyYIr after structural relaxation, from the Open Quantum Materials Database.

```
DyYIr
1.0
-0.354 -3.623 -6.229
1.984 -3.666 2.020
-7.864 -3.037 2.213
Ir Y Dy
4 4 4
Cartesian
0.486 -5.764 -2.972 Ir
-4.435 -5.423 -2.831 Ir
-6.720 -4.562 0.977 Ir
-1.799 -4.903 0.835 Ir
-3.910 -6.544 -0.069 Y
-5.434 -8.876 -2.804 Y
-0.800 -1.450 0.809 Y
-2.324 -3.782 -1.926 Y
0.731 -4.289 -0.537 Dy
-4.117 -3.193 0.903 Dy
-2.118 -7.133 -2.899 Dy
-6.966 -6.037 -1.459 Dy
```

Summary:
Total moment ... 0.05 μB/cell
Excess energy over the best structure of this formula in the dataset ... 0.000 eV per formula unit
Energy of formation ... -0.718 eV per atom
V ... 24.3 Å³/atom

=====

Repeat the second record exactly.
The following is a PBE calculation of Dy2Tm2Ir3 after structural relaxation, from the Open Quantum Materials Database.

```
Dy2Tm2Ir3
1.0
-1.958 -1.042 4.204
0.989 -3.479 -3.086
7.167 1.902 3.801
Ir Dy Tm
3 2 2
Cartesian
0.797 -2.044 2.551 Ir
0.000 0.000 0.000 Ir
5.401 -0.575 2.367 Ir
3.507 -2.331 3.740 Dy
2.691 -0.287 1.179 Dy
5.287 0.144 5.177 Tm
0.912 -2.763 -0.259 Tm
```

Summary:
Total moment ... 0.00 μB/cell
Energy of formation ... -0.864 eV per atom
V ... 22.0 Å³/atom

=====

> V of number 3 (DyTmIr)?

23.6 Å³/atom